Arrangement A

Compound: Nd2HfSc
Source: Alexandria via LeMat-Bulk
Functional: PBE-GGA
Structure: optimized geometry

As for the crystal system: trigonal.

The structure belongs to space group R3m (No. 160, hexagonal axes); the cell edges are 3.4288, 3.4288 and 33.4363 Å and the angles 90.00°, 90.00° and 120.00°. The asymmetric unit holds Nd at (0.0000, 0.0000, 0.0000), Nd at (0.0000, 0.0000, 0.1712), Hf at (0.0000, 0.0000, 0.5850) and Sc at (0.0000, 0.0000, 0.7533).

Arrangement B

Compound: Nd2HfSc
Source: Alexandria via LeMat-Bulk
Functional: PBE-GGA
Structure: optimized geometry

As for the crystal system: tetragonal.

The structure belongs to space group P4/mmm (No. 123); the cell edges are 3.447, 3.447 and 9.556 Å and the angles 90.00°, 90.00° and 90.00°. The asymmetric unit holds Nd at (0.000, 0.000, 0.243), Hf at (0.500, 0.500, 0.000) and Sc at (0.500, 0.500, 0.500).

Arrangement C

Compound: Nd2HfSc
Source: Alexandria via LeMat-Bulk
Functional: PBE-GGA
Structure: optimized geometry

As for the crystal system: trigonal.

The structure belongs to space group R-3m (No. 166, hexagonal axes); the cell edges are 3.3142, 3.3142 and 35.9639 Å and the angles 90.00°, 90.00° and 120.00°. The asymmetric unit holds Nd at (0.0000, 0.0000, 0.0874), Hf at (0.0000, 0.0000, 0.0000) and Sc at (0.0000, 0.0000, 0.5000).

Arrangement D

Compound: Nd2HfSc
Source: Alexandria via LeMat-Bulk
Functional: PBE-GGA
Structure: optimized geometry

As for the crystal system: tetragonal.

The structure belongs to space group P4/mmm (No. 123); the cell edges are 4.883, 4.883 and 4.741 Å and the angles 90.00°, 90.00° and 90.00°. The asymmetric unit holds Nd at (0.000, 0.500, 0.000), Hf at (0.000, 0.000, 0.500) and Sc at (0.500, 0.500, 0.500).

Most stable: arrangement B